*i*
TlCoW2 | PBEsol | optimized geometry

Unit cell a=2.8154 b=2.8154 c=7.8838 alpha=90.00 beta=90.00 gamma=90.00
Closest atoms and distances in Å follow each position.
Fractional positions:
Tl  0.0000  0.0000  0.0000  4 Tl 2.82, 8 W 3.04
Co  0.0000  0.0000  0.5000  8 W 2.58, 4 Co 2.82
W  0.5000  0.5000  0.2915  4 Co 2.58, 4 W 2.82
W  0.5000  0.5000  0.7085  4 Co 2.58, 4 W 2.82

As for the space group: No. 123. The value obtained for the density of states at the Fermi level is 2.465 states/eV per cell.

***

*ii*
TlCoW2 | PBEsol | optimized geometry

Unit cell a=5.2084 b=5.2084 c=2.7753 alpha=97.95 beta=97.95 gamma=119.16
Closest atoms and distances in Å follow each position.
Fractional positions:
Tl  0.0000  0.0000  0.0000  2 Co 2.64, 2 Tl 2.78, 4 W 2.78
Co  0.5000  0.5000  0.0000  2 Tl 2.64, 2 Co 2.78, 4 W 2.78
W  0.0000  0.5000  0.5000  4 W 2.64-2.78, 2 Tl 2.78, 2 Co 2.78
W  0.5000  0.0000  0.5000  4 W 2.64-2.78, 2 Tl 2.78, 2 Co 2.78

As for the space group: No. 12. The value obtained for the density of states at the Fermi level is 4.604 states/eV per cell.

***

Name the most stable of them. *i*.

***

*i*
Tl2ZnCo | PBEsol | optimized geometry

Unit cell a=5.3410 b=5.3410 c=5.3410 alpha=135.94 beta=135.94 gamma=64.08
Closest atoms and distances in Å follow each position.
Fractional positions:
Tl  0.0000  0.0000  0.0000  4 Zn 2.83, 4 Tl 3.02, 4 Co 3.02
Tl  0.7500  0.2500  0.5000  4 Co 2.83, 4 Zn 3.02, 4 Tl 3.02
Zn  0.5000  0.5000  0.0000  8 Tl 2.83-3.02, 4 Co 3.02
Co  0.2500  0.7500  0.5000  8 Tl 2.83-3.02, 4 Zn 3.02

As for the space group: No. 119. The value obtained for the density of states at the Fermi level is 2.506 states/eV per cell.

***

*ii*
Tl2ZnCo | PBEsol | optimized geometry

Unit cell a=9.0373 b=9.0373 c=9.0373 alpha=20.28 beta=20.28 gamma=20.28
Closest atoms and distances in Å follow each position.
Fractional positions:
Tl  0.0000  0.0000  0.0000  3 Zn 3.05, 9 Tl 3.18-3.41
Tl  0.2252  0.2252  0.2252  3 Co 2.68
Zn  0.7584  0.7584  0.7584  3 Co 2.43
Co  0.4848  0.4848  0.4848  3 Zn 2.43, 3 Tl 2.68

As for the space group: No. 160. The value obtained for the density of states at the Fermi level is 3.229 states/eV per cell.

***

Name the most stable of them. *ii*.

***

*i*
TlZn2Co | PBEsol | optimized geometry

Unit cell a=8.9842 b=8.9842 c=8.9842 alpha=18.93 beta=18.93 gamma=18.93
Closest atoms and distances in Å follow each position.
Fractional positions:
Tl  0.0000  0.0000  0.0000  6 Tl 2.95, 6 Zn 3.15
Zn  0.2333  0.2333  0.2333  3 Co 2.45
Zn  0.7667  0.7667  0.7667  3 Co 2.45
Co  0.5000  0.5000  0.5000  6 Zn 2.45

As for the space group: No. 166. The value obtained for the density of states at the Fermi level is 3.305 states/eV per cell.

***

*ii*
TlZn2Co | PBEsol | optimized geometry

Unit cell a=3.8317 b=3.8317 c=4.0221 alpha=90.00 beta=90.00 gamma=90.00
Closest atoms and distances in Å follow each position.
Fractional positions:
Tl  0.0000  0.0000  0.0000  4 Co 2.71, 8 Zn 2.78
Zn  0.0000  0.5000  0.5000  4 Zn 2.71, 4 Tl 2.78, 4 Co 2.78
Zn  0.5000  0.0000  0.5000  4 Zn 2.71, 4 Tl 2.78, 4 Co 2.78
Co  0.5000  0.5000  0.0000  4 Tl 2.71, 8 Zn 2.78

As for the space group: No. 123. The value obtained for the density of states at the Fermi level is 2.892 states/eV per cell.

***

Name the most stable of them. *ii*.

***

*i*
ZrTlCo2 | PBEsol | optimized geometry

Unit cell a=5.1297 b=5.1297 c=5.1297 alpha=137.61 beta=137.61 gamma=61.49
Closest atoms and distances in Å follow each position.
Fractional positions:
Zr  0.0000  0.0000  0.0000  8 Co 2.62-2.88, 4 Tl 2.88
Tl  0.2500  0.7500  0.5000  8 Co 2.62-2.88, 4 Zr 2.88
Co  0.5000  0.5000  0.0000  4 Zr 2.62, 4 Tl 2.88, 4 Co 2.88
Co  0.7500  0.2500  0.5000  4 Tl 2.62, 4 Zr 2.88, 4 Co 2.88

As for the space group: No. 119. The value obtained for the density of states at the Fermi level is 1.502 states/eV per cell.

***

*ii*
ZrTlCo2 | PBEsol | optimized geometry

Unit cell a=3.0792 b=3.0792 c=6.7470 alpha=90.00 beta=90.00 gamma=90.00
Closest atoms and distances in Å follow each position.
Fractional positions:
Zr  0.0000  0.0000  0.0000  5 Co 2.63-2.72
Tl  0.5000  0.5000  0.6538  5 Co 2.78-2.81, 4 Tl 3.08
Co  0.0000  0.0000  0.3900  4 Co 2.40, 1 Zr 2.63
Co  0.5000  0.5000  0.2416  4 Co 2.40

As for the space group: No. 99. The value obtained for the density of states at the Fermi level is 3.076 states/eV per cell.

***

Name the most stable of them. *i*.